Below is crystalline AcPrInI at its relaxed geometry, with properties calculated at the PBE level.

Formation energy without anion corrections   -54 kJ/mol of atoms
Space group   F-43m (216)

Unit cell a=5.747 b=5.747 c=5.747 alpha=60.00 beta=60.00 gamma=60.00
Fractional positions:
Ac 0.000 0.000 0.000
Pr 0.500 0.500 0.500
In 0.250 0.250 0.250
I 0.750 0.750 0.750


Below is crystalline AsN at its relaxed geometry, with properties calculated at the PBE level.

Formation energy without anion corrections   1 kJ/mol of atoms
Energy above the most stable polymorph in this dataset   0.000 eV/atom
Space group   Cm (8)

Unit cell a=3.625 b=3.625 c=10.012 alpha=95.28 beta=95.28 gamma=59.94
Fractional positions:
As 0.000 0.000 0.000
As 0.691 0.691 0.140
N 0.311 0.311 0.618
N 0.385 0.385 0.522


Below is crystalline PrRhSe at its relaxed geometry, with properties calculated at the PBE level.

Formation energy without anion corrections   -115 kJ/mol of atoms
Space group   P3m1 (156)

Unit cell a=4.371 b=4.371 c=3.866 alpha=90.00 beta=90.00 gamma=120.00
Fractional positions:
Pr 0.000 0.000 0.000
Rh 0.333 0.667 0.509
Se 0.667 0.333 0.495


Below is crystalline Ac3Ce2PmS6 at its relaxed geometry, with properties calculated at the PBE level.

Formation energy without anion corrections   -194 kJ/mol of atoms
Space group   C2/m (12)

Unit cell a=7.201 b=7.201 c=7.270 alpha=99.53 beta=99.53 gamma=120.05
Fractional positions:
Ac 0.000 0.000 0.000
Ac 0.334 0.666 0.000
Ac 0.666 0.334 0.000
Ce 0.166 0.834 0.500
Ce 0.834 0.166 0.500
Pm 0.500 0.500 0.500
S 0.089 0.423 0.268
S 0.244 0.244 0.731
S 0.423 0.089 0.268
S 0.577 0.911 0.732
S 0.756 0.756 0.269
S 0.911 0.577 0.732


Below is crystalline Tl17In11Hg at its relaxed geometry, with properties calculated at the PBE level.

Space group   Cm (8)
ΔE_f   0.0061 eV/atom

Unit cell a=10.379 b=10.379 c=10.385 alpha=109.47 beta=109.47 gamma=109.43
Fractional positions:
Tl 0.000 0.000 0.000
Tl 0.000 0.638 0.360
Tl 0.002 0.002 0.361
Tl 0.283 0.602 0.964
Tl 0.320 0.714 0.681
Tl 0.323 0.323 0.078
Tl 0.359 0.359 0.720
Tl 0.392 0.997 0.039
Tl 0.393 0.680 0.358
Tl 0.602 0.283 0.964
Tl 0.604 0.604 0.644
Tl 0.638 0.000 0.360
Tl 0.678 0.996 0.754
Tl 0.680 0.393 0.358
Tl 0.714 0.320 0.681
Tl 0.996 0.678 0.754
Tl 0.997 0.392 0.039
In 0.178 0.813 0.173
In 0.184 0.997 0.726
In 0.187 0.367 0.360
In 0.366 0.999 0.548
In 0.367 0.187 0.360
In 0.632 0.818 0.996
In 0.808 0.808 0.533
In 0.813 0.178 0.173
In 0.818 0.632 0.996
In 0.997 0.184 0.726
In 0.999 0.366 0.548
Hg 0.634 0.634 0.181


Below is crystalline CuMoBr2 at its relaxed geometry, with properties calculated at the PBE level.

Formation energy without anion corrections   67 kJ/mol of atoms
Energy above the most stable polymorph in this dataset   0.514 eV/atom
Space group   I-4m2 (119)

Unit cell a=6.866 b=6.866 c=6.866 alpha=147.64 beta=147.64 gamma=46.41
Fractional positions:
Cu 0.000 0.000 0.000
Mo 0.250 0.750 0.500
Br 0.500 0.500 0.000
Br 0.750 0.250 0.500


Below is crystalline CaVS2N at its relaxed geometry, with properties calculated at the PBE level.

Formation energy without anion corrections   -86 kJ/mol of atoms
Energy above the most stable polymorph in this dataset   0.000 eV/atom
Space group   P4/mmm (123)

Unit cell a=4.796 b=4.796 c=3.685 alpha=90.00 beta=90.00 gamma=90.00
Fractional positions:
Ca 0.000 0.000 0.000
V 0.500 0.500 0.500
S 0.000 0.500 0.500
S 0.500 0.000 0.500
N 0.500 0.500 0.000


no.,energy (eV/cell)
1,-15.4
2,-25.9
3,-19.2
4,-77.8
5,-70.5
6,-15.5
7,-32.2